Below is crystalline Cu2SbH at its relaxed geometry, with properties calculated at the GGA-PBEsol level.

Cell lengths 4.246, 4.246, 4.246 Å; angles 60.00, 60.00, 60.00 degrees
Positions (direct):
Sb  0.500  0.500  0.500
Cu  0.250  0.250  0.250
Cu  0.750  0.750  0.750
H  0.000  0.000  0.000

Summary:
Electronic total energy: -14.15 eV per cell
Volume: 54.12 Å³/cell
DOS at the Fermi energy: 0.435 states/eV per atom
ρ: 7.7 g cm⁻³